Arrangement one

A relaxed structure of Mo2Cl3. Source: Alexandria via LeMat-Bulk, functional PBE.

```
data_Mo2Cl3
_chemical_formula_sum 'Mo4 Cl6'
_cell_length_a 8.681
_cell_length_b 7.939
_cell_length_c 5.840
_cell_angle_alpha 76.42
_cell_angle_beta 62.74
_cell_angle_gamma 40.84
_symmetry_space_group_name_H-M 'P 1'
_symmetry_Int_Tables_number 1
loop_
_symmetry_equiv_pos_as_xyz
'x,y,z'
loop_
_atom_site_label
_atom_site_type_symbol
_atom_site_fract_x
_atom_site_fract_y
_atom_site_fract_z
_atom_site_occupancy
Cl1 Cl 0.747 0.626 0.326 1
Mo1 Mo 0.381 0.705 0.434 1
Cl2 Cl 0.924 0.950 0.503 1
Cl3 Cl 0.092 0.908 0.908 1
Mo2 Mo 0.545 0.869 0.770 1
Cl4 Cl 0.624 0.503 0.950 1
Mo3 Mo 0.480 0.434 0.705 1
Mo4 Mo 0.816 0.770 0.869 1
Cl5 Cl 0.300 0.326 0.626 1
Cl6 Cl 0.342 0.158 0.158 1
```

The density of states at the Fermi level comes out at 4.5 states/eV/cell. The symmetry is Fdd2. The value obtained for the calculated volume is 229.6 Å³/cell. Its spin magnetization is 2.0 μB/cell.



Arrangement two

A relaxed structure of Mo2Cl3. Source: Alexandria via LeMat-Bulk, functional PBE.

```
data_Mo2Cl3
_chemical_formula_sum 'Mo2 Cl3'
_cell_length_a 11.367
_cell_length_b 11.367
_cell_length_c 11.367
_cell_angle_alpha 15.93
_cell_angle_beta 15.93
_cell_angle_gamma 15.93
_symmetry_space_group_name_H-M 'P 1'
_symmetry_Int_Tables_number 1
loop_
_symmetry_equiv_pos_as_xyz
'x,y,z'
loop_
_atom_site_label
_atom_site_type_symbol
_atom_site_fract_x
_atom_site_fract_y
_atom_site_fract_z
_atom_site_occupancy
Cl1 Cl 0.225 0.225 0.225 1
Cl2 Cl 0.000 0.000 0.000 1
Mo1 Mo 0.605 0.605 0.605 1
Cl3 Cl 0.775 0.775 0.775 1
Mo2 Mo 0.395 0.395 0.395 1
```

The density of states at the Fermi level comes out at 2.4 states/eV/cell. The symmetry is R-3m. The value obtained for the calculated volume is 96.4 Å³/cell. Its spin magnetization is 0.0 μB/cell.



Arrangement three

A relaxed structure of Mo2Cl3. Source: Alexandria via LeMat-Bulk, functional PBE.

```
data_Mo2Cl3
_chemical_formula_sum 'Mo4 Cl6'
_cell_length_a 3.141
_cell_length_b 9.032
_cell_length_c 10.680
_cell_angle_alpha 64.95
_cell_angle_beta 89.82
_cell_angle_gamma 89.60
_symmetry_space_group_name_H-M 'P 1'
_symmetry_Int_Tables_number 1
loop_
_symmetry_equiv_pos_as_xyz
'x,y,z'
loop_
_atom_site_label
_atom_site_type_symbol
_atom_site_fract_x
_atom_site_fract_y
_atom_site_fract_z
_atom_site_occupancy
Mo1 Mo 0.629 0.059 0.877 1
Mo2 Mo 0.124 0.078 0.251 1
Mo3 Mo 0.129 0.936 0.124 1
Mo4 Mo 0.624 0.328 0.749 1
Cl1 Cl 0.121 0.462 0.841 1
Cl2 Cl 0.126 0.349 0.568 1
Cl3 Cl 0.132 0.941 0.771 1
Cl4 Cl 0.632 0.712 0.230 1
Cl5 Cl 0.620 0.304 0.158 1
Cl6 Cl 0.625 0.918 0.432 1
```

The density of states at the Fermi level comes out at 3.3 states/eV/cell. The symmetry is P1. The value obtained for the calculated volume is 274.5 Å³/cell. Its spin magnetization is 0.0 μB/cell.



Stability summary: most stable arrangement three, least stable arrangement two.



Arrangement one

A relaxed structure of MoCl5. Source: Alexandria via LeMat-Bulk, functional PBE.

```
data_MoCl5
_chemical_formula_sum 'Mo1 Cl5'
_cell_length_a 2.936
_cell_length_b 2.936
_cell_length_c 16.588
_cell_angle_alpha 90.00
_cell_angle_beta 90.00
_cell_angle_gamma 90.00
_symmetry_space_group_name_H-M 'P 1'
_symmetry_Int_Tables_number 1
loop_
_symmetry_equiv_pos_as_xyz
'x,y,z'
loop_
_atom_site_label
_atom_site_type_symbol
_atom_site_fract_x
_atom_site_fract_y
_atom_site_fract_z
_atom_site_occupancy
Mo1 Mo 0.500 0.500 0.000 1
Cl1 Cl 0.000 0.000 0.910 1
Cl2 Cl 0.500 0.500 0.740 1
Cl3 Cl 0.000 0.000 0.500 1
Cl4 Cl 0.000 0.000 0.090 1
Cl5 Cl 0.500 0.500 0.260 1
```

The density of states at the Fermi level comes out at 4.3 states/eV/cell. The symmetry is P4/mmm. The value obtained for the calculated volume is 143.0 Å³/cell. Its spin magnetization is 0.0 μB/cell.



Arrangement two

A relaxed structure of MoCl5. Source: Alexandria via LeMat-Bulk, functional PBE.

```
data_MoCl5
_chemical_formula_sum 'Mo8 Cl40'
_cell_length_a 6.540
_cell_length_b 12.428
_cell_length_c 18.517
_cell_angle_alpha 90.00
_cell_angle_beta 90.00
_cell_angle_gamma 90.00
_symmetry_space_group_name_H-M 'P 1'
_symmetry_Int_Tables_number 1
loop_
_symmetry_equiv_pos_as_xyz
'x,y,z'
loop_
_atom_site_label
_atom_site_type_symbol
_atom_site_fract_x
_atom_site_fract_y
_atom_site_fract_z
_atom_site_occupancy
Cl1 Cl 0.945 0.228 0.250 1
Cl2 Cl 0.934 0.234 0.064 1
Cl3 Cl 0.555 0.728 0.250 1
Mo1 Mo 0.407 0.624 0.356 1
Mo2 Mo 0.593 0.376 0.644 1
Cl4 Cl 0.185 0.987 0.657 1
Cl5 Cl 0.241 0.020 0.250 1
Cl6 Cl 0.815 0.013 0.343 1
Cl7 Cl 0.566 0.734 0.064 1
Cl8 Cl 0.250 0.014 0.436 1
Cl9 Cl 0.250 0.514 0.436 1
Mo3 Mo 0.093 0.124 0.144 1
Mo4 Mo 0.093 0.124 0.356 1
Cl10 Cl 0.741 0.480 0.750 1
Cl11 Cl 0.750 0.986 0.564 1
Cl12 Cl 0.259 0.520 0.250 1
Cl13 Cl 0.445 0.272 0.750 1
Cl14 Cl 0.750 0.486 0.936 1
Cl15 Cl 0.685 0.513 0.343 1
Cl16 Cl 0.934 0.234 0.436 1
Cl17 Cl 0.372 0.233 0.343 1
Cl18 Cl 0.872 0.267 0.843 1
Cl19 Cl 0.066 0.766 0.564 1
Cl20 Cl 0.128 0.733 0.343 1
Cl21 Cl 0.185 0.987 0.843 1
Mo5 Mo 0.907 0.876 0.856 1
Cl22 Cl 0.628 0.767 0.657 1
Mo6 Mo 0.407 0.624 0.144 1
Cl23 Cl 0.759 0.980 0.750 1
Cl24 Cl 0.815 0.013 0.157 1
Mo7 Mo 0.593 0.376 0.856 1
Cl25 Cl 0.872 0.267 0.657 1
Cl26 Cl 0.315 0.487 0.843 1
Cl27 Cl 0.628 0.767 0.843 1
Cl28 Cl 0.434 0.266 0.564 1
Cl29 Cl 0.685 0.513 0.157 1
Cl30 Cl 0.372 0.233 0.157 1
Cl31 Cl 0.250 0.014 0.064 1
Cl32 Cl 0.128 0.733 0.157 1
Cl33 Cl 0.066 0.766 0.936 1
Cl34 Cl 0.250 0.514 0.064 1
Cl35 Cl 0.750 0.486 0.564 1
Cl36 Cl 0.566 0.734 0.436 1
Cl37 Cl 0.750 0.986 0.936 1
Cl38 Cl 0.434 0.266 0.936 1
Mo8 Mo 0.907 0.876 0.644 1
Cl39 Cl 0.315 0.487 0.657 1
Cl40 Cl 0.055 0.772 0.750 1
```

The density of states at the Fermi level comes out at 35.7 states/eV/cell. The symmetry is Pnma. The value obtained for the calculated volume is 1505.0 Å³/cell. Its spin magnetization is 8.0 μB/cell.



Stability summary: most stable arrangement two, least stable arrangement one.



Arrangement one

A relaxed structure of MoCl5. Source: Alexandria via LeMat-Bulk, functional PBE.

```
data_MoCl5
_chemical_formula_sum 'Mo8 Cl40'
_cell_length_a 12.524
_cell_length_b 9.812
_cell_length_c 13.122
_cell_angle_alpha 70.16
_cell_angle_beta 90.00
_cell_angle_gamma 90.00
_symmetry_space_group_name_H-M 'P 1'
_symmetry_Int_Tables_number 1
loop_
_symmetry_equiv_pos_as_xyz
'x,y,z'
loop_
_atom_site_label
_atom_site_type_symbol
_atom_site_fract_x
_atom_site_fract_y
_atom_site_fract_z
_atom_site_occupancy
Mo1 Mo 0.375 0.121 0.685 1
Cl1 Cl 0.236 0.282 0.221 1
Cl2 Cl 0.270 0.719 0.649 1
Cl3 Cl 0.728 0.092 0.187 1
Cl4 Cl 0.981 0.091 0.833 1
Cl5 Cl 0.732 0.466 0.087 1
Cl6 Cl 0.516 0.275 0.072 1
Cl7 Cl 0.764 0.718 0.779 1
Cl8 Cl 0.230 0.719 0.149 1
Cl9 Cl 0.019 0.909 0.167 1
Mo2 Mo 0.122 0.696 0.295 1
Cl10 Cl 0.768 0.906 0.948 1
Cl11 Cl 0.014 0.282 0.067 1
Cl12 Cl 0.990 0.464 0.740 1
Cl13 Cl 0.732 0.906 0.448 1
Cl14 Cl 0.272 0.908 0.813 1
Cl15 Cl 0.486 0.282 0.567 1
Cl16 Cl 0.481 0.909 0.667 1
Mo3 Mo 0.625 0.879 0.315 1
Mo4 Mo 0.622 0.304 0.205 1
Cl17 Cl 0.984 0.275 0.572 1
Cl18 Cl 0.986 0.718 0.933 1
Cl19 Cl 0.482 0.097 0.832 1
Cl20 Cl 0.232 0.094 0.052 1
Cl21 Cl 0.518 0.903 0.168 1
Cl22 Cl 0.010 0.536 0.260 1
Cl23 Cl 0.772 0.092 0.687 1
Cl24 Cl 0.768 0.466 0.587 1
Cl25 Cl 0.232 0.534 0.413 1
Mo5 Mo 0.378 0.696 0.795 1
Mo6 Mo 0.878 0.304 0.705 1
Cl26 Cl 0.228 0.908 0.313 1
Cl27 Cl 0.770 0.281 0.851 1
Cl28 Cl 0.016 0.725 0.428 1
Cl29 Cl 0.264 0.282 0.721 1
Cl30 Cl 0.018 0.097 0.332 1
Cl31 Cl 0.982 0.903 0.668 1
Cl32 Cl 0.490 0.536 0.760 1
Cl33 Cl 0.730 0.281 0.351 1
Mo7 Mo 0.125 0.121 0.185 1
Cl34 Cl 0.514 0.718 0.433 1
Cl35 Cl 0.268 0.094 0.552 1
Cl36 Cl 0.510 0.464 0.240 1
Cl37 Cl 0.736 0.718 0.279 1
Cl38 Cl 0.484 0.725 0.928 1
Cl39 Cl 0.519 0.091 0.333 1
Cl40 Cl 0.268 0.534 0.913 1
Mo8 Mo 0.875 0.879 0.815 1
```

The density of states at the Fermi level comes out at 36.3 states/eV/cell. The symmetry is P2_1/c. The value obtained for the calculated volume is 1516.8 Å³/cell. Its spin magnetization is 8.0 μB/cell.



Arrangement two

A relaxed structure of MoCl5. Source: Alexandria via LeMat-Bulk, functional PBE.

```
data_MoCl5
_chemical_formula_sum 'Mo1 Cl5'
_cell_length_a 6.449
_cell_length_b 6.449
_cell_length_c 6.920
_cell_angle_alpha 90.00
_cell_angle_beta 90.00
_cell_angle_gamma 147.29
_symmetry_space_group_name_H-M 'P 1'
_symmetry_Int_Tables_number 1
loop_
_symmetry_equiv_pos_as_xyz
'x,y,z'
loop_
_atom_site_label
_atom_site_type_symbol
_atom_site_fract_x
_atom_site_fract_y
_atom_site_fract_z
_atom_site_occupancy
Cl1 Cl 0.507 0.493 0.500 1
Cl2 Cl 0.640 0.360 0.000 1
Cl3 Cl 0.972 0.028 0.000 1
Cl4 Cl 0.308 0.692 0.000 1
Cl5 Cl 0.769 0.231 0.500 1
Mo1 Mo 0.138 0.862 0.500 1
```

The density of states at the Fermi level comes out at 5.3 states/eV/cell. The symmetry is Amm2. The value obtained for the calculated volume is 155.5 Å³/cell. Its spin magnetization is 3.6 μB/cell.



Stability summary: most stable arrangement one, least stable arrangement two.



Arrangement one

A relaxed structure of MoCl5. Source: Alexandria via LeMat-Bulk, functional PBE.

```
data_MoCl5
_chemical_formula_sum 'Mo6 Cl30'
_cell_length_a 13.151
_cell_length_b 13.151
_cell_length_c 6.579
_cell_angle_alpha 85.68
_cell_angle_beta 85.68
_cell_angle_gamma 89.39
_symmetry_space_group_name_H-M 'P 1'
_symmetry_Int_Tables_number 1
loop_
_symmetry_equiv_pos_as_xyz
'x,y,z'
loop_
_atom_site_label
_atom_site_type_symbol
_atom_site_fract_x
_atom_site_fract_y
_atom_site_fract_z
_atom_site_occupancy
Cl1 Cl 0.023 0.836 0.304 1
Cl2 Cl 0.446 0.074 0.748 1
Cl3 Cl 0.165 0.351 0.316 1
Mo1 Mo 0.439 0.227 0.566 1
Cl4 Cl 0.111 0.738 0.873 1
Cl5 Cl 0.977 0.164 0.696 1
Cl6 Cl 0.315 0.502 0.816 1
Mo2 Mo 0.773 0.561 0.434 1
Cl7 Cl 0.220 0.592 0.384 1
Cl8 Cl 0.929 0.929 0.880 1
Cl9 Cl 0.262 0.889 0.127 1
Cl10 Cl 0.164 0.977 0.696 1
Cl11 Cl 0.351 0.165 0.316 1
Cl12 Cl 0.402 0.402 0.395 1
Mo3 Mo 0.227 0.439 0.566 1
Cl13 Cl 0.598 0.598 0.605 1
Cl14 Cl 0.649 0.835 0.684 1
Mo4 Mo 0.894 0.106 0.000 1
Cl15 Cl 0.502 0.315 0.816 1
Cl16 Cl 0.780 0.408 0.616 1
Mo5 Mo 0.561 0.773 0.434 1
Cl17 Cl 0.926 0.554 0.252 1
Cl18 Cl 0.735 0.735 0.262 1
Cl19 Cl 0.071 0.071 0.120 1
Cl20 Cl 0.554 0.926 0.252 1
Cl21 Cl 0.265 0.265 0.738 1
Mo6 Mo 0.106 0.894 0.000 1
Cl22 Cl 0.835 0.649 0.684 1
Cl23 Cl 0.889 0.262 0.127 1
Cl24 Cl 0.685 0.498 0.184 1
Cl25 Cl 0.738 0.111 0.873 1
Cl26 Cl 0.498 0.685 0.184 1
Cl27 Cl 0.592 0.220 0.384 1
Cl28 Cl 0.408 0.780 0.616 1
Cl29 Cl 0.836 0.023 0.304 1
Cl30 Cl 0.074 0.446 0.748 1
```

The density of states at the Fermi level comes out at 26.9 states/eV/cell. The symmetry is C2/m. The value obtained for the calculated volume is 1131.3 Å³/cell. Its spin magnetization is 6.0 μB/cell.



Arrangement two

A relaxed structure of MoCl5. Source: Alexandria via LeMat-Bulk, functional PBE.

```
data_MoCl5
_chemical_formula_sum 'Mo1 Cl5'
_cell_length_a 8.156
_cell_length_b 8.156
_cell_length_c 2.915
_cell_angle_alpha 90.00
_cell_angle_beta 90.00
_cell_angle_gamma 120.00
_symmetry_space_group_name_H-M 'P 1'
_symmetry_Int_Tables_number 1
loop_
_symmetry_equiv_pos_as_xyz
'x,y,z'
loop_
_atom_site_label
_atom_site_type_symbol
_atom_site_fract_x
_atom_site_fract_y
_atom_site_fract_z
_atom_site_occupancy
Cl1 Cl 0.000 0.769 0.000 1
Cl2 Cl 0.231 0.231 0.000 1
Mo1 Mo 0.000 0.000 0.500 1
Cl3 Cl 0.667 0.333 0.500 1
Cl4 Cl 0.769 0.000 0.000 1
Cl5 Cl 0.333 0.667 0.500 1
```

The density of states at the Fermi level comes out at 3.4 states/eV/cell. The symmetry is P-62m. The value obtained for the calculated volume is 167.9 Å³/cell. Its spin magnetization is 0.4 μB/cell.



Arrangement three

A relaxed structure of MoCl5. Source: Alexandria via LeMat-Bulk, functional PBE.

```
data_MoCl5
_chemical_formula_sum 'Mo1 Cl5'
_cell_length_a 7.380
_cell_length_b 7.380
_cell_length_c 7.504
_cell_angle_alpha 65.75
_cell_angle_beta 65.75
_cell_angle_gamma 24.59
_symmetry_space_group_name_H-M 'P 1'
_symmetry_Int_Tables_number 1
loop_
_symmetry_equiv_pos_as_xyz
'x,y,z'
loop_
_atom_site_label
_atom_site_type_symbol
_atom_site_fract_x
_atom_site_fract_y
_atom_site_fract_z
_atom_site_occupancy
Cl1 Cl 0.296 0.296 0.199 1
Cl2 Cl 0.338 0.338 0.815 1
Cl3 Cl 0.054 0.054 0.034 1
Mo1 Mo 0.694 0.694 0.039 1
Cl4 Cl 0.086 0.086 0.362 1
Cl5 Cl 0.698 0.698 0.717 1
```

The density of states at the Fermi level comes out at 7.2 states/eV/cell. The symmetry is Cm. The value obtained for the calculated volume is 154.3 Å³/cell. Its spin magnetization is 0.0 μB/cell.



Arrangement four

A relaxed structure of MoCl5. Source: Alexandria via LeMat-Bulk, functional PBE.

```
data_MoCl5
_chemical_formula_sum 'Mo1 Cl5'
_cell_length_a 5.001
_cell_length_b 5.001
_cell_length_c 7.795
_cell_angle_alpha 90.00
_cell_angle_beta 90.00
_cell_angle_gamma 120.00
_symmetry_space_group_name_H-M 'P 1'
_symmetry_Int_Tables_number 1
loop_
_symmetry_equiv_pos_as_xyz
'x,y,z'
loop_
_atom_site_label
_atom_site_type_symbol
_atom_site_fract_x
_atom_site_fract_y
_atom_site_fract_z
_atom_site_occupancy
Cl1 Cl 0.500 0.500 0.500 1
Cl2 Cl 0.667 0.333 0.000 1
Mo1 Mo 0.000 0.000 0.000 1
Cl3 Cl 0.333 0.667 0.000 1
Cl4 Cl 0.500 0.000 0.500 1
Cl5 Cl 0.000 0.500 0.500 1
```

The density of states at the Fermi level comes out at 0.6 states/eV/cell. The symmetry is P6/mmm. The value obtained for the calculated volume is 168.8 Å³/cell. Its spin magnetization is 3.8 μB/cell.



Stability summary: most stable arrangement one, least stable arrangement four.